Entry 1:
A plane-wave DFT calculation with GGA-PBE was carried out for crystalline La2ZrPaAs4 at its relaxed geometry.

```
data_La2ZrPaAs4
_space_group_name_H-M_alt 'P 1 2/m 1'
_space_group_IT_number 10
_space_group_name_Hall '-P 2y'
_cell_length_a 7.140
_cell_length_b 4.153
_cell_length_c 7.297
_cell_angle_alpha 90.00
_cell_angle_beta 109.13
_cell_angle_gamma 90.00
loop_
_atom_site_label
_atom_site_fract_x
_atom_site_fract_y
_atom_site_fract_z
_atom_site_occupancy
La1 0.000 0.000 0.000 1
La2 0.500 0.500 0.000 1
Zr1 0.000 0.500 0.500 1
Pa1 0.500 0.000 0.500 1
As1 0.237 0.000 0.724 1
As2 0.252 0.500 0.273 1
```

total magnetization	0.00	μB/cell
DOS(E_F)	5.931	states/eV/f.u.
energy of formation	-127.1	kJ/mol of atoms

=====

Entry 2:
A plane-wave DFT calculation with GGA-PBE was carried out for crystalline Y2CdPbBr at its relaxed geometry.

```
data_Y2CdPbBr
_space_group_name_H-M_alt 'P 4/m m m'
_space_group_IT_number 123
_space_group_name_Hall '-P 4 2'
_cell_length_a 5.379
_cell_length_b 5.379
_cell_length_c 5.388
_cell_angle_alpha 90.00
_cell_angle_beta 90.00
_cell_angle_gamma 90.00
loop_
_atom_site_label
_atom_site_fract_x
_atom_site_fract_y
_atom_site_fract_z
_atom_site_occupancy
Y1 0.000 0.500 0.000 1
Cd1 0.000 0.000 0.500 1
Pb1 0.500 0.500 0.500 1
Br1 0.000 0.000 0.000 1
```

energy relative to the elements, uncorrected	-0.04	eV per atom
total magnetization	0.00	μB/cell
DOS(E_F)	4.126	states/eV/f.u.

=====

Entry 3:
A plane-wave DFT calculation with GGA-PBE was carried out for crystalline LiMg2Zr at its relaxed geometry.

```
data_LiMg2Zr
_space_group_name_H-M_alt 'P m m m'
_space_group_IT_number 47
_space_group_name_Hall '-P 2 2'
_cell_length_a 3.586
_cell_length_b 4.850
_cell_length_c 4.862
_cell_angle_alpha 90.00
_cell_angle_beta 90.00
_cell_angle_gamma 90.00
loop_
_atom_site_label
_atom_site_fract_x
_atom_site_fract_y
_atom_site_fract_z
_atom_site_occupancy
Li1 0.000 0.000 0.000 1
Mg1 0.000 0.500 0.500 1
Mg2 0.500 0.500 0.000 1
Zr1 0.500 0.000 0.500 1
```

total magnetization	0.00	μB/cell
DOS(E_F)	3.119	states/eV/f.u.
energy of formation	16.1	kJ/mol of atoms

=====

Entry 4:
A plane-wave DFT calculation with GGA-PBE was carried out for crystalline V2HBrCl at its relaxed geometry.

```
data_V2HBrCl
_space_group_name_H-M_alt 'P 4/m m m'
_space_group_IT_number 123
_space_group_name_Hall '-P 4 2'
_cell_length_a 4.592
_cell_length_b 4.592
_cell_length_c 6.263
_cell_angle_alpha 90.00
_cell_angle_beta 90.00
_cell_angle_gamma 90.00
loop_
_atom_site_label
_atom_site_fract_x
_atom_site_fract_y
_atom_site_fract_z
_atom_site_occupancy
V1 0.000 0.500 0.000 1
H1 0.000 0.000 0.500 1
Br1 0.500 0.500 0.500 1
Cl1 0.500 0.500 0.000 1
```

total magnetization	7.53	μB/cell
DOS(E_F)	9.857	states/eV/f.u.
E	-3.882	eV/atom

=====

Entry 5:
A plane-wave DFT calculation with GGA-PBE was carried out for crystalline La3Tm3Tl2 at its relaxed geometry.

```
data_La3Tm3Tl2
_space_group_name_H-M_alt 'C m c m'
_space_group_IT_number 63
_space_group_name_Hall '-C 2c 2'
_cell_length_a 5.105
_cell_length_b 12.051
_cell_length_c 17.053
_cell_angle_alpha 90.00
_cell_angle_beta 90.00
_cell_angle_gamma 90.00
loop_
_atom_site_label
_atom_site_fract_x
_atom_site_fract_y
_atom_site_fract_z
_atom_site_occupancy
La1 0.000 0.052 0.104 1
La2 0.000 0.302 0.250 1
Tm1 0.000 0.366 0.042 1
Tm2 0.000 0.414 0.750 1
Tl1 0.000 0.236 0.618 1
```

total magnetization	0.01	μB/cell
DOS(E_F)	11.929	states/eV/f.u.
energy of formation	-12.1	kJ/mol of atoms

=====

Entry 6:
A plane-wave DFT calculation with GGA-PBE was carried out for crystalline BaLi4Sc at its relaxed geometry.

```
data_BaLi4Sc
_space_group_name_H-M_alt 'F -4 3 m'
_space_group_IT_number 216
_space_group_name_Hall 'F -4 2 3'
_cell_length_a 8.615
_cell_length_b 8.615
_cell_length_c 8.615
_cell_angle_alpha 90.00
_cell_angle_beta 90.00
_cell_angle_gamma 90.00
loop_
_atom_site_label
_atom_site_fract_x
_atom_site_fract_y
_atom_site_fract_z
_atom_site_occupancy
Ba1 0.000 0.000 0.000 1
Li1 0.121 0.121 0.621 1
Sc1 0.250 0.250 0.250 1
```

total magnetization	2.04	μB/cell
DOS(E_F)	7.187	states/eV/f.u.
energy of formation	17.3	kJ/mol of atoms

=====

Please write out number 6 again, unchanged.
A plane-wave DFT calculation with GGA-PBE was carried out for crystalline BaLi4Sc at its relaxed geometry.

```
data_BaLi4Sc
_space_group_name_H-M_alt 'F -4 3 m'
_space_group_IT_number 216
_space_group_name_Hall 'F -4 2 3'
_cell_length_a 8.615
_cell_length_b 8.615
_cell_length_c 8.615
_cell_angle_alpha 90.00
_cell_angle_beta 90.00
_cell_angle_gamma 90.00
loop_
_atom_site_label
_atom_site_fract_x
_atom_site_fract_y
_atom_site_fract_z
_atom_site_occupancy
Ba1 0.000 0.000 0.000 1
Li1 0.121 0.121 0.621 1
Sc1 0.250 0.250 0.250 1
```

total magnetization	2.04	μB/cell
DOS(E_F)	7.187	states/eV/f.u.
energy of formation	17.3	kJ/mol of atoms

=====

Number 5 is which compound?
La3Tm3Tl2